No. 1
DFT (SCAN) results for a crystal of Ta2NiSe relaxed with PBEsol.

The structure in extended XYZ format:
```
4
Lattice="-2.135 2.135 3.313 2.135 -2.135 3.313 2.135 2.135 -3.313" Properties=species:S:1:pos:R:3 pbc="T T T"
Ta 2.135 0.000 1.656
Ta 0.000 2.135 1.656
Ni 0.000 0.000 0.000
Se 0.000 0.000 3.313
```

Calculated values
energy relative to the elements, uncorrected = 0.059 eV per atom
DFT total energy = -169.184 eV/cell

***

No. 2
DFT (SCAN) results for a crystal of Ta2NiSe relaxed with PBEsol.

The structure in extended XYZ format:
```
4
Lattice="-1.868 1.868 4.407 1.868 -1.868 4.407 1.868 1.868 -4.407" Properties=species:S:1:pos:R:3 pbc="T T T"
Ta 0.000 0.000 0.000
Ta 0.000 1.868 2.204
Ni 0.000 0.000 4.407
Se 1.868 0.000 2.204
```

Calculated values
energy relative to the elements, uncorrected = 0.199 eV per atom
DFT total energy = -168.624 eV/cell

***

No. 3
DFT (SCAN) results for a crystal of TaNi2Se relaxed with PBEsol.

The structure in extended XYZ format:
```
4
Lattice="-1.846 1.846 3.959 1.846 -1.846 3.959 1.846 1.846 -3.959" Properties=species:S:1:pos:R:3 pbc="T T T"
Ta 0.000 0.000 0.000
Ni 1.846 0.000 1.980
Ni 0.000 1.846 1.980
Se 0.000 0.000 3.959
```

Calculated values
energy relative to the elements, uncorrected = 0.176 eV per atom
DFT total energy = -118.305 eV/cell

***

No. 4
DFT (SCAN) results for a crystal of Tc2NiSe relaxed with PBEsol.

The structure in extended XYZ format:
```
4
Lattice="3.028 0.000 0.000 0.000 4.170 0.000 0.000 0.000 4.354" Properties=species:S:1:pos:R:3 pbc="T T T"
Tc 0.000 0.000 0.000
Tc 1.514 2.085 0.000
Ni 0.000 2.085 2.177
Se 1.514 0.000 2.177
```

Calculated values
energy relative to the elements, uncorrected = 0.480 eV per atom
DFT total energy = -104.452 eV/cell

***

No. 5
DFT (SCAN) results for a crystal of Tc2NiSe relaxed with PBEsol.

The structure in extended XYZ format:
```
4
Lattice="4.078 -1.429 0.000 4.078 1.429 0.000 -0.937 0.000 4.659" Properties=species:S:1:pos:R:3 pbc="T T T"
Tc 1.795 0.000 1.096
Tc 5.424 0.000 3.563
Ni 4.078 0.000 0.000
Se -0.468 0.000 2.330
```

Calculated values
energy relative to the elements, uncorrected = 0.327 eV per atom
DFT total energy = -105.062 eV/cell

***

No. 6
DFT (SCAN) results for a crystal of NiTe2Se relaxed with PBEsol.

The structure in extended XYZ format:
```
4
Lattice="1.894 -2.453 0.000 1.894 2.453 0.000 0.000 0.000 9.181" Properties=species:S:1:pos:R:3 pbc="T T T"
Ni 0.000 0.000 0.000
Te 1.894 0.000 1.739
Te 1.894 0.000 7.442
Se 0.000 0.000 4.590
```

Calculated values
energy relative to the elements, uncorrected = 0.277 eV per atom
DFT total energy = -109.646 eV/cell

***

No. 7
DFT (SCAN) results for a crystal of Ni2TeSe relaxed with PBEsol.

The structure in extended XYZ format:
```
4
Lattice="4.385 0.000 0.000 0.000 2.369 3.334 0.000 -2.369 3.334" Properties=species:S:1:pos:R:3 pbc="T T T"
Ni 0.000 0.000 0.000
Ni 2.192 0.000 1.317
Te 2.192 0.000 5.473
Se 0.000 0.000 2.372
```

Calculated values
energy above the lowest structure with this stoichiometry = 0.000 eV/f.u.
energy relative to the elements, uncorrected = -0.165 eV per atom
DFT total energy = -90.336 eV/cell

***

No. 8
DFT (SCAN) results for a crystal of NiTe4Se relaxed with PBEsol.

The structure in extended XYZ format:
```
6
Lattice="0.000 4.293 4.293 4.293 0.000 4.293 4.293 4.293 0.000" Properties=species:S:1:pos:R:3 pbc="T T T"
Ni 0.000 0.000 0.000
Te 5.363 3.222 3.222
Te 3.222 5.363 3.222
Te 3.222 3.222 5.363
Te 5.363 5.363 5.363
Se 2.146 2.146 2.146
```

Calculated values
energy relative to the elements, uncorrected = 0.909 eV per atom
DFT total energy = -179.801 eV/cell

***

No. 9
DFT (SCAN) results for a crystal of Ni2TeSe relaxed with PBEsol.

The structure in extended XYZ format:
```
4
Lattice="3.132 0.000 0.000 0.000 3.132 0.000 0.000 0.000 6.327" Properties=species:S:1:pos:R:3 pbc="T T T"
Ni 0.000 0.000 1.390
Ni 0.000 0.000 4.937
Te 1.566 1.566 3.163
Se 1.566 1.566 0.000
```

Calculated values
energy above the lowest structure with this stoichiometry = 1.825 eV/f.u.
energy relative to the elements, uncorrected = 0.291 eV per atom
DFT total energy = -88.510 eV/cell

***

No. 10
DFT (SCAN) results for a crystal of NiTe2Se relaxed with PBEsol.

The structure in extended XYZ format:
```
4
Lattice="2.729 -4.168 0.000 2.729 4.168 0.000 0.000 0.000 3.823" Properties=species:S:1:pos:R:3 pbc="T T T"
Ni 0.000 0.000 0.000
Te 2.729 2.541 1.911
Te 2.729 -2.541 1.911
Se 2.729 0.000 0.000
```

Calculated values
energy relative to the elements, uncorrected = -0.024 eV per atom
DFT total energy = -110.848 eV/cell

***

No. 11
DFT (SCAN) results for a crystal of NiTeSe2 relaxed with PBEsol.

The structure in extended XYZ format:
```
4
Lattice="3.101 0.000 0.000 0.000 3.101 0.000 0.000 0.000 8.111" Properties=species:S:1:pos:R:3 pbc="T T T"
Ni 0.000 0.000 0.000
Te 1.551 1.551 6.117
Se 0.000 0.000 3.737
Se 1.551 1.551 1.018
```

Calculated values
energy relative to the elements, uncorrected = 0.318 eV per atom
DFT total energy = -92.309 eV/cell

***

No. 12
DFT (SCAN) results for a crystal of Ni2TeSe relaxed with PBEsol.

The structure in extended XYZ format:
```
4
Lattice="0.000 3.193 3.193 3.193 0.000 3.193 3.193 3.193 0.000" Properties=species:S:1:pos:R:3 pbc="T T T"
Ni 0.000 0.000 0.000
Ni 1.597 1.597 1.597
Te 4.790 4.790 4.790
Se 3.193 3.193 3.193
```

Calculated values
energy above the lowest structure with this stoichiometry = 3.641 eV/f.u.
energy relative to the elements, uncorrected = 0.745 eV per atom
DFT total energy = -86.695 eV/cell

***

No. 13
DFT (SCAN) results for a crystal of Ni2TeSe relaxed with PBEsol.

The structure in extended XYZ format:
```
4
Lattice="0.000 3.497 3.509 2.802 0.000 3.509 2.802 3.497 0.000" Properties=species:S:1:pos:R:3 pbc="T T T"
Ni 2.802 1.749 1.755
Ni 0.000 1.749 1.755
Te 0.000 0.000 0.000
Se 2.802 3.497 3.509
```

Calculated values
energy above the lowest structure with this stoichiometry = 1.470 eV/f.u.
energy relative to the elements, uncorrected = 0.203 eV per atom
DFT total energy = -88.865 eV/cell

***

No. 14
DFT (SCAN) results for a crystal of NiTeSe4 relaxed with PBEsol.

The structure in extended XYZ format:
```
6
Lattice="0.000 3.947 3.947 3.947 0.000 3.947 3.947 3.947 0.000" Properties=species:S:1:pos:R:3 pbc="T T T"
Ni 0.000 0.000 0.000
Te 5.921 5.921 5.921
Se 2.950 2.950 2.950
Se 4.944 4.944 2.950
Se 4.944 2.950 4.944
Se 2.950 4.944 4.944
```

Calculated values
energy relative to the elements, uncorrected = 1.028 eV per atom
DFT total energy = -127.569 eV/cell

***

No. 15
DFT (SCAN) results for a crystal of NiTeSe2 relaxed with PBEsol.

The structure in extended XYZ format:
```
4
Lattice="-1.693 2.429 5.147 1.693 -2.429 5.147 1.693 2.429 -5.147" Properties=species:S:1:pos:R:3 pbc="T T T"
Ni 0.000 0.000 0.000
Te 0.000 0.000 5.147
Se 1.693 0.000 1.619
Se 0.000 2.429 3.528
```

Calculated values
energy relative to the elements, uncorrected = -0.045 eV per atom
DFT total energy = -93.761 eV/cell

***

No. 16
DFT (SCAN) results for a crystal of Ni2TeSe relaxed with PBEsol.

The structure in extended XYZ format:
```
4
Lattice="3.231 0.000 0.000 0.000 3.231 0.000 0.000 0.000 6.620" Properties=species:S:1:pos:R:3 pbc="T T T"
Ni 0.000 0.000 0.000
Ni 1.616 1.616 1.341
Te 1.616 1.616 5.386
Se 0.000 0.000 2.296
```

Calculated values
energy above the lowest structure with this stoichiometry = 0.054 eV/f.u.
energy relative to the elements, uncorrected = -0.151 eV per atom
DFT total energy = -90.282 eV/cell

***

No. 17
DFT (SCAN) results for a crystal of NiTeSe2 relaxed with PBEsol.

The structure in extended XYZ format:
```
4
Lattice="0.000 3.323 3.323 3.323 0.000 3.323 3.323 3.323 0.000" Properties=species:S:1:pos:R:3 pbc="T T T"
Ni 0.000 0.000 0.000
Te 1.661 1.661 1.661
Se 3.323 3.323 3.323
Se 4.984 4.984 4.984
```

Calculated values
energy relative to the elements, uncorrected = 0.662 eV per atom
DFT total energy = -90.932 eV/cell

***

No. 18
DFT (SCAN) results for a crystal of NiTeSe2 relaxed with PBEsol.

The structure in extended XYZ format:
```
4
Lattice="4.717 0.000 0.000 0.000 4.717 0.000 0.000 0.000 3.389" Properties=species:S:1:pos:R:3 pbc="T T T"
Ni 0.000 0.000 0.000
Te 2.359 2.359 0.000
Se 0.000 2.359 1.694
Se 2.359 0.000 1.694
```

Calculated values
energy relative to the elements, uncorrected = 0.594 eV per atom
DFT total energy = -91.206 eV/cell

***

No. 19
DFT (SCAN) results for a crystal of Ni3TeSe relaxed with PBEsol.

The structure in extended XYZ format:
```
5
Lattice="4.606 0.000 0.000 0.000 4.606 0.000 0.000 0.000 4.606" Properties=species:S:1:pos:R:3 pbc="T T T"
Ni 0.000 0.000 2.303
Ni 0.000 2.303 0.000
Ni 2.303 0.000 0.000
Te 0.000 0.000 0.000
Se 2.303 2.303 2.303
```

Calculated values
energy relative to the elements, uncorrected = 0.847 eV per atom
DFT total energy = -101.615 eV/cell

***

No. 20
DFT (SCAN) results for a crystal of NiTeSe2 relaxed with PBEsol.

The structure in extended XYZ format:
```
4
Lattice="1.773 1.023 8.016 -1.773 1.023 8.016 0.000 -2.047 8.016" Properties=species:S:1:pos:R:3 pbc="T T T"
Ni 0.000 0.000 0.000
Te 0.000 0.000 12.024
Se 0.000 0.000 9.242
Se 0.000 0.000 14.807
```

Calculated values
energy relative to the elements, uncorrected = -0.152 eV per atom
DFT total energy = -94.189 eV/cell